No. 1
{
  "formula": "MgB3Pb",
  "functional": "PBE",
  "state": "optimized geometry",
  "cell": [[4.683, 0.000, 0.000], [0.000, 4.683, 0.000], [0.000, 0.000, 4.683]],
  "species": ["Mg", "B", "B", "B", "Pb"],
  "fractional_positions": [[0.000, 0.000, 0.000], [0.000, 0.500, 0.500], [0.500, 0.000, 0.500], [0.500, 0.500, 0.000], [0.500, 0.500, 0.500]],
  "total_energy_ev_per_atom": -2.764,
  "polymorph_energy_ev_per_atom": 0.302,
  "m_tot_mub_per_atom": 0.000,
  "delta_e_f_ev_per_atom": 2.303
}


No. 2
{
  "formula": "Mg3BPb",
  "functional": "PBE",
  "state": "optimized geometry",
  "cell": [[4.673, 0.000, 0.000], [0.000, 4.673, 0.000], [0.000, 0.000, 4.673]],
  "species": ["Mg", "Mg", "Mg", "B", "Pb"],
  "fractional_positions": [[0.000, 0.000, 0.500], [0.000, 0.500, 0.000], [0.500, 0.000, 0.000], [0.000, 0.000, 0.000], [0.500, 0.500, 0.500]],
  "total_energy_ev_per_atom": -2.858,
  "polymorph_energy_ev_per_atom": 0.000,
  "m_tot_mub_per_atom": 0.000,
  "delta_e_f_ev_per_atom": 0.176
}